# AlOs4

A relaxed AlOs4 crystal (PBE, Alexandria via LeMat-Bulk).

Results
The energy relative to the elements is 1.882 eV/atom. As for the total DFT energy (no corrections): -7.851 eV per atom. As for the space group: No. 221. The value obtained for the polymorph energy (0 for the lowest one) is 1817 meV per atom. For the calculated volume, the calculation gives 81 Å³/f.u.

a b c (Å): 4.3292 4.3292 4.3292
angles (deg): 90.00 90.00 90.00
Fractional coordinates of all 5 atoms:
Os: 0.0000 0.0000 0.0000
Os: 0.5000 0.0000 0.5000
Os: 0.0000 0.5000 0.5000
Os: 0.5000 0.5000 0.0000
Al: 0.5000 0.5000 0.5000

=====

# Al8Os

A relaxed Al8Os crystal (PBE, Alexandria via LeMat-Bulk).

Results
The energy relative to the elements is -0.115 eV/atom. As for the total DFT energy (no corrections): -4.690 eV per atom. As for the space group: No. 139. For the calculated volume, the calculation gives 140 Å³/f.u.

a b c (Å): 6.2433 6.2433 6.2433
angles (deg): 95.93 95.93 142.50
Fractional coordinates of all 9 atoms:
Al: 0.3409 0.6591 0.0000
Al: 0.6591 0.3409 0.0000
Al: 0.0000 0.3241 0.3241
Al: 0.6591 0.6591 0.3182
Al: 0.3241 0.0000 0.3241
Al: 0.3409 0.3409 0.6818
Al: 0.0000 0.6759 0.6759
Al: 0.6759 0.0000 0.6759
Os: 0.0000 0.0000 0.0000

=====

# AlOs2

A relaxed AlOs2 crystal (PBE, Alexandria via LeMat-Bulk).

Results
The energy relative to the elements is 0.822 eV/atom. As for the total DFT energy (no corrections): -7.912 eV per atom. As for the space group: No. 123. For the calculated volume, the calculation gives 48 Å³/f.u.

a b c (Å): 4.0238 4.0238 2.9667
angles (deg): 90.00 90.00 90.00
Fractional coordinates of all 3 atoms:
Os: 0.0000 0.5000 0.5000
Os: 0.5000 0.0000 0.5000
Al: 0.0000 0.0000 0.0000

=====

# Al2Os

A relaxed Al2Os crystal (PBE, Alexandria via LeMat-Bulk).

Results
The energy relative to the elements is -0.308 eV/atom. As for the total DFT energy (no corrections): -6.547 eV per atom. As for the space group: No. 12. For the calculated volume, the calculation gives 44 Å³/f.u.

a b c (Å): 5.7784 5.7784 5.3147
angles (deg): 74.91 74.91 31.06
Fractional coordinates of all 6 atoms:
Al: 0.3152 0.3152 0.1196
Al: 0.9981 0.9981 0.7533
Al: 0.0019 0.0019 0.2467
Al: 0.6848 0.6848 0.8804
Os: 0.6485 0.6485 0.4190
Os: 0.3515 0.3515 0.5810

=====

# Al7Os6

A relaxed Al7Os6 crystal (PBE, Alexandria via LeMat-Bulk).

Results
The energy relative to the elements is 0.091 eV/atom. As for the total DFT energy (no corrections): -7.107 eV per atom. As for the space group: No. 166. For the calculated volume, the calculation gives 184 Å³/f.u.

a b c (Å): 9.3176 9.3176 9.3176
angles (deg): 30.43 30.43 30.43
Fractional coordinates of all 13 atoms:
Os: 0.0472 0.0472 0.0472
Os: 0.9528 0.9528 0.9528
Os: 0.1626 0.1626 0.1626
Os: 0.8374 0.8374 0.8374
Os: 0.3327 0.3327 0.3327
Os: 0.6673 0.6673 0.6673
Al: 0.5876 0.0842 0.5876
Al: 0.5876 0.5876 0.0842
Al: 0.0842 0.5876 0.5876
Al: 0.4124 0.9158 0.4124
Al: 0.9158 0.4124 0.4124
Al: 0.4124 0.4124 0.9158
Al: 0.5000 0.5000 0.5000

=====

# AlOs8

A relaxed AlOs8 crystal (PBE, Alexandria via LeMat-Bulk).

Results
The energy relative to the elements is 0.056 eV/atom. As for the total DFT energy (no corrections): -10.342 eV per atom. As for the space group: No. 139. For the calculated volume, the calculation gives 130 Å³/f.u.

a b c (Å): 6.1124 6.1124 6.1124
angles (deg): 95.73 95.73 143.16
Fractional coordinates of all 9 atoms:
Al: 0.0000 0.0000 0.0000
Os: 0.6730 0.3270 0.0000
Os: 0.3270 0.6730 0.0000
Os: 0.0000 0.6609 0.6609
Os: 0.3270 0.3270 0.6540
Os: 0.6609 0.0000 0.6609
Os: 0.6730 0.6730 0.3460
Os: 0.0000 0.3391 0.3391
Os: 0.3391 0.0000 0.3391